ZrVSi2: optimized geometry, PBE.

```
ZrVSi2
1.0
-3.906 1.116 0.392
-2.789 -2.724 1.206
-1.480 0.590 4.815
Si Zr V
2 1 1
Cartesian
-6.186 -0.847 4.496
-1.988 -0.172 1.918
0.000 0.000 0.000
-4.087 -0.509 3.207
```

- formation energy from raw total energies (eV per atom) = -0.411

=====

Li2HfMn: optimized geometry, PBE.

```
Li2HfMn
1.0
-2.420 -2.282 -1.455
2.629 -1.520 -1.989
1.966 -8.812 6.023
Mn Hf Li
2 2 4
Cartesian
0.105 -1.901 -1.722
2.350 -6.117 1.156
0.000 0.000 0.000
-0.175 -6.498 1.423
-0.638 -3.769 0.380
1.778 -3.489 0.049
1.612 -8.069 3.182
1.599 -9.902 1.548
```

- distance to the lowest polymorph of the same formula (eV per atom) = 0.000